No. 1
The following is a DFT calculation (PBE-GGA) of Zr4FeAuC2 after structural relaxation.

```
data_Zr4FeAuC2
_chemical_formula_sum 'Zr4 Fe1 Au1 C2'
_cell_length_a 3.3120
_cell_length_b 3.3120
_cell_length_c 13.8500
_cell_angle_alpha 90.00
_cell_angle_beta 90.00
_cell_angle_gamma 120.00
_space_group_name_H-M_alt 'P -6 m 2'
_space_group_IT_number 187
_space_group_name_Hall 'P -6 2'
loop_
_atom_site_label
_atom_site_fract_x
_atom_site_fract_y
_atom_site_fract_z
Zr1 0.0000 0.0000 0.1434
Zr2 0.3333 0.6667 0.3340
Fe1 0.3333 0.6667 0.0000
Au1 0.0000 0.0000 0.5000
C1 0.6667 0.3333 0.2425
```

**Energy**: -67.83 eV for the cell shown
**V**: 16.45 Å³/atom



No. 2
The following is a DFT calculation (PBE-GGA) of Zr4Cu3Mo2C3 after structural relaxation.

```
data_Zr4Cu3Mo2C3
_chemical_formula_sum 'Zr16 Cu12 Mo8 C12'
_cell_length_a 9.716
_cell_length_b 5.611
_cell_length_c 13.590
_cell_angle_alpha 90.00
_cell_angle_beta 105.02
_cell_angle_gamma 90.00
_space_group_name_H-M_alt 'C 1 2/c 1'
_space_group_IT_number 15
loop_
_space_group_symop_operation_xyz
'x,y,z'
'-x,-y,-z'
'-x,y,-z+1/2'
'x,-y,z+1/2'
'x+1/2,y+1/2,z'
'-x+1/2,-y+1/2,-z'
'-x+1/2,y+1/2,-z+1/2'
'x+1/2,-y+1/2,z+1/2'
loop_
_atom_site_label
_atom_site_fract_x
_atom_site_fract_y
_atom_site_fract_z
Zr1 0.121 0.075 0.105
Zr2 0.208 0.089 0.395
Cu1 0.000 0.160 0.750
Cu2 0.128 0.455 0.248
Mo1 0.061 0.412 0.926
C1 0.082 0.253 0.500
C2 0.250 0.250 0.000
```

**Energy**: -393.76 eV for the cell shown
**V**: 14.91 Å³/atom



No. 3
The following is a DFT calculation (PBE-GGA) of Hf3Si4Pd after structural relaxation.

```
data_Hf3Si4Pd
_chemical_formula_sum 'Hf3 Si4 Pd1'
_cell_length_a 5.207
_cell_length_b 3.712
_cell_length_c 7.039
_cell_angle_alpha 90.00
_cell_angle_beta 92.28
_cell_angle_gamma 90.00
_space_group_name_H-M_alt 'P 1 m 1'
_space_group_IT_number 6
loop_
_space_group_symop_operation_xyz
'x,y,z'
'x,-y,z'
loop_
_atom_site_label
_atom_site_fract_x
_atom_site_fract_y
_atom_site_fract_z
Hf1 0.000 0.000 0.000
Hf2 0.229 0.500 0.651
Hf3 0.485 0.500 0.146
Si1 0.277 0.000 0.378
Si2 0.476 0.000 0.870
Si3 0.738 0.500 0.754
Si4 0.983 0.500 0.280
Pd1 0.761 0.000 0.437
```

**Energy**: -61.49 eV for the cell shown
**V**: 16.99 Å³/atom



No. 4
The following is a DFT calculation (PBE-GGA) of ThIn after structural relaxation.

```
data_ThIn
_chemical_formula_sum 'Th1 In1'
_cell_length_a 3.4641
_cell_length_b 3.4641
_cell_length_c 5.6261
_cell_angle_alpha 90.00
_cell_angle_beta 90.00
_cell_angle_gamma 120.00
_space_group_name_H-M_alt 'P -6 m 2'
_space_group_IT_number 187
_space_group_name_Hall 'P -6 2'
loop_
_atom_site_label
_atom_site_fract_x
_atom_site_fract_y
_atom_site_fract_z
Th1 0.0000 0.0000 0.0000
In1 0.3333 0.6667 0.5000
```

**Energy**: -10.48 eV for the cell shown
**V**: 29.23 Å³/atom



No. 5
The following is a DFT calculation (PBE-GGA) of Ni2BAu after structural relaxation.

```
data_Ni2BAu
_chemical_formula_sum 'Ni8 B4 Au4'
_cell_length_a 5.694
_cell_length_b 5.694
_cell_length_c 5.694
_cell_angle_alpha 90.00
_cell_angle_beta 90.00
_cell_angle_gamma 90.00
_space_group_name_H-M_alt 'F -4 3 m'
_space_group_IT_number 216
_space_group_name_Hall 'F -4 2 3'
loop_
_atom_site_label
_atom_site_fract_x
_atom_site_fract_y
_atom_site_fract_z
Ni1 0.000 0.000 0.000
Ni2 0.250 0.250 0.250
B1 0.000 0.000 0.500
Au1 0.250 0.250 0.750
```

**Energy**: -76.19 eV for the cell shown
**V**: 11.54 Å³/atom



No. 6
The following is a DFT calculation (PBE-GGA) of SmLuCu2Ge2 after structural relaxation.

```
data_SmLuCu2Ge2
_chemical_formula_sum 'Sm1 Lu1 Cu2 Ge2'
_cell_length_a 4.2522
_cell_length_b 4.2522
_cell_length_c 7.3163
_cell_angle_alpha 90.00
_cell_angle_beta 90.00
_cell_angle_gamma 120.00
_space_group_name_H-M_alt 'P 3 m 1'
_space_group_IT_number 156
loop_
_space_group_symop_operation_xyz
'x,y,z'
'-y,x-y,z'
'-x+y,-x,z'
'-y,-x,z'
'-x+y,y,z'
'x,x-y,z'
loop_
_atom_site_label
_atom_site_fract_x
_atom_site_fract_y
_atom_site_fract_z
Sm1 0.0000 0.0000 0.0000
Lu1 0.0000 0.0000 0.5020
Cu1 0.3333 0.6667 0.7024
Cu2 0.6667 0.3333 0.2552
Ge1 0.3333 0.6667 0.2836
Ge2 0.6667 0.3333 0.7597
```

**Energy**: -29.96 eV for the cell shown
**V**: 19.09 Å³/atom



No. 7
The following is a DFT calculation (PBE-GGA) of Sr3Tm4O9 after structural relaxation.

```
data_Sr3Tm4O9
_chemical_formula_sum 'Sr9 Tm12 O27'
_cell_length_a 5.8926
_cell_length_b 5.8926
_cell_length_c 24.7930
_cell_angle_alpha 90.00
_cell_angle_beta 90.00
_cell_angle_gamma 120.00
_space_group_name_H-M_alt 'R 3'
_space_group_IT_number 146
_space_group_name_Hall 'R 3'
loop_
_atom_site_label
_atom_site_fract_x
_atom_site_fract_y
_atom_site_fract_z
Sr1 0.0000 0.0000 0.0000
Sr2 0.0000 0.0000 0.1729
Sr3 0.0000 0.0000 0.5933
Tm1 0.0000 0.0000 0.3041
Tm2 0.0000 0.0000 0.4307
Tm3 0.0000 0.0000 0.7421
Tm4 0.0000 0.0000 0.8677
O1 0.0010 0.5872 0.5861
O2 0.0123 0.4172 0.0287
O3 0.0810 0.3502 0.4746
```

**Energy**: -359.52 eV for the cell shown
**V**: 15.53 Å³/atom



No. 8
The following is a DFT calculation (PBE-GGA) of NdGaSiAu2 after structural relaxation.

```
data_NdGaSiAu2
_chemical_formula_sum 'Nd2 Ga2 Si2 Au4'
_cell_length_a 4.354
_cell_length_b 4.354
_cell_length_c 10.565
_cell_angle_alpha 90.00
_cell_angle_beta 90.00
_cell_angle_gamma 90.00
_space_group_name_H-M_alt 'P 4/n m m'
_space_group_IT_number 129
loop_
_space_group_symop_operation_xyz
'x,y,z'
'-x,-y,-z'
'-y+1/2,x,z'
'y+1/2,-x,-z'
'-x+1/2,-y+1/2,z'
'x+1/2,y+1/2,-z'
'y,-x+1/2,z'
'-y,x+1/2,-z'
'x+1/2,-y,-z'
'-x+1/2,y,z'
'-y,-x,-z'
'y,x,z'
'-x,y+1/2,-z'
'x,-y+1/2,z'
'y+1/2,x+1/2,-z'
'-y+1/2,-x+1/2,z'
loop_
_atom_site_label
_atom_site_fract_x
_atom_site_fract_y
_atom_site_fract_z
Nd1 0.250 0.250 0.243
Ga1 0.250 0.750 0.500
Si1 0.250 0.250 0.868
Au1 0.250 0.250 0.639
Au2 0.250 0.750 0.000
```

**Energy**: -46.11 eV for the cell shown
**V**: 20.03 Å³/atom



No. 9
The following is a DFT calculation (PBE-GGA) of HoNbN2O after structural relaxation.

```
data_HoNbN2O
_chemical_formula_sum 'Ho4 Nb4 N8 O4'
_cell_length_a 7.789
_cell_length_b 7.830
_cell_length_c 5.605
_cell_angle_alpha 90.00
_cell_angle_beta 133.77
_cell_angle_gamma 90.00
_space_group_name_H-M_alt 'C 1 2/m 1'
_space_group_IT_number 12
loop_
_space_group_symop_operation_xyz
'x,y,z'
'-x,-y,-z'
'-x,y,-z'
'x,-y,z'
'x+1/2,y+1/2,z'
'-x+1/2,-y+1/2,-z'
'-x+1/2,y+1/2,-z'
'x+1/2,-y+1/2,z'
loop_
_atom_site_label
_atom_site_fract_x
_atom_site_fract_y
_atom_site_fract_z
Ho1 0.229 0.000 0.496
Nb1 0.250 0.250 0.000
N1 0.000 0.201 0.500
N2 0.136 0.500 0.927
O1 0.000 0.166 0.000
```

**Energy**: -178.92 eV for the cell shown
**V**: 12.34 Å³/atom



No. 10
The following is a DFT calculation (PBE-GGA) of YTlCoCu after structural relaxation.

```
data_YTlCoCu
_chemical_formula_sum 'Y4 Tl4 Co4 Cu4'
_cell_length_a 6.719
_cell_length_b 6.719
_cell_length_c 6.719
_cell_angle_alpha 90.00
_cell_angle_beta 90.00
_cell_angle_gamma 90.00
_space_group_name_H-M_alt 'F -4 3 m'
_space_group_IT_number 216
_space_group_name_Hall 'F -4 2 3'
loop_
_atom_site_label
_atom_site_fract_x
_atom_site_fract_y
_atom_site_fract_z
Y1 0.000 0.000 0.000
Tl1 0.250 0.250 0.250
Co1 0.000 0.000 0.500
Cu1 0.250 0.250 0.750
```

**Energy**: -75.87 eV for the cell shown
**Energy relative to the lowest polymorph listed for this composition**: 152.8 meV/atom
**V**: 18.96 Å³/atom



No. 11
The following is a DFT calculation (PBE-GGA) of TmMgCu after structural relaxation.

```
data_TmMgCu
_chemical_formula_sum 'Tm4 Mg4 Cu4'
_cell_length_a 6.531
_cell_length_b 6.531
_cell_length_c 6.531
_cell_angle_alpha 90.00
_cell_angle_beta 90.00
_cell_angle_gamma 90.00
_space_group_name_H-M_alt 'F -4 3 m'
_space_group_IT_number 216
_space_group_name_Hall 'F -4 2 3'
loop_
_atom_site_label
_atom_site_fract_x
_atom_site_fract_y
_atom_site_fract_z
Tm1 0.000 0.000 0.000
Mg1 0.250 0.250 0.250
Cu1 0.000 0.000 0.500
```

**Energy**: -33.19 eV for the cell shown
**V**: 23.22 Å³/atom



No. 12
The following is a DFT calculation (PBE-GGA) of Nd2Sm2C2BrCl4 after structural relaxation.

```
data_Nd2Sm2C2BrCl4
_chemical_formula_sum 'Nd4 Sm4 C4 Br2 Cl8'
_cell_length_a 18.761
_cell_length_b 3.884
_cell_length_c 8.202
_cell_angle_alpha 90.00
_cell_angle_beta 104.64
_cell_angle_gamma 90.00
_space_group_name_H-M_alt 'C 1 2/m 1'
_space_group_IT_number 12
loop_
_space_group_symop_operation_xyz
'x,y,z'
'-x,-y,-z'
'-x,y,-z'
'x,-y,z'
'x+1/2,y+1/2,z'
'-x+1/2,-y+1/2,-z'
'-x+1/2,y+1/2,-z'
'x+1/2,-y+1/2,z'
loop_
_atom_site_label
_atom_site_fract_x
_atom_site_fract_y
_atom_site_fract_z
Nd1 0.000 0.000 0.202
Sm1 0.160 0.500 0.105
C1 0.039 0.500 0.024
Br1 0.000 0.500 0.500
Cl1 0.162 0.000 0.347
Cl2 0.171 0.000 0.857
```

**Energy**: -127.04 eV for the cell shown
**Energy relative to the lowest polymorph listed for this composition**: 0.0 meV/atom
**V**: 26.28 Å³/atom